Entry 1:
{"formula": "KCo2Ge2", "functional": "GGA-PBE", "state": "relaxed", "dos_at_fermi_per_ev_atom": 0.82, "polymorph_energy_mev_per_atom": 73, "ef_ev_per_atom": 0.230, "density_g_cm3": 5.73, "vol_a3_per_fu": 88, "dft_energy_ev_per_atom": -4.6784, "lattice_angstrom": [[-4.065, -0.344, -1.135], [0.098, -4.136, 0.902], [-3.347, -1.272, 4.475]], "species": ["Ge", "Ge", "Co", "Co", "K"], "fractional_positions": [[0.750, 0.250, 0.500], [0.250, 0.750, 0.500], [0.378, 0.378, 0.245], [0.622, 0.622, 0.755], [0.000, 0.000, 0.000]]}

Entry 2:
{"formula": "MgZrGa3", "functional": "GGA-PBE", "state": "relaxed", "dos_at_fermi_per_ev_atom": 0.79, "polymorph_energy_mev_per_atom": 0, "ef_ev_per_atom": 0.491, "density_g_cm3": 3.81, "vol_a3_per_fu": 141, "dft_energy_ev_per_atom": -3.3534, "lattice_angstrom": [[5.210, 0.000, 0.000], [0.000, 5.210, 0.000], [0.000, 0.000, 5.210]], "species": ["Mg", "Ga", "Ga", "Ga", "Zr"], "fractional_positions": [[0.500, 0.500, 0.500], [0.000, 0.500, 0.000], [0.000, 0.000, 0.500], [0.500, 0.000, 0.000], [0.000, 0.000, 0.000]]}

Entry 3:
{"formula": "Cs3Li5Br12", "functional": "GGA-PBE", "state": "relaxed", "dos_at_fermi_per_ev_atom": 1.42, "density_g_cm3": 3.32, "raw_formation_energy_mev_per_atom": -1115.7, "vol_a3_per_fu": 697, "dft_energy_ev_per_atom": -2.7259, "lattice_angstrom": [[-5.167, 4.557, -13.728], [-8.402, -11.867, 4.952], [-1.129, 11.601, 10.004]], "species": ["Cs", "Cs", "Cs", "Cs", "Cs", "Cs", "Cs", "Cs", "Cs", "Cs", "Cs", "Cs", "Li", "Li", "Li", "Li", "Li", "Li", "Li", "Li", "Li", "Li", "Li", "Li", "Li", "Li", "Li", "Li", "Li", "Li", "Li", "Li", "Br", "Br", "Br", "Br", "Br", "Br", "Br", "Br", "Br", "Br", "Br", "Br", "Br", "Br", "Br", "Br", "Br", "Br", "Br", "Br", "Br", "Br", "Br", "Br", "Br", "Br", "Br", "Br", "Br", "Br", "Br", "Br", "Br", "Br", "Br", "Br", "Br", "Br", "Br", "Br", "Br", "Br", "Br", "Br", "Br", "Br", "Br", "Br"], "fractional_positions": [[0.750, 0.375, 0.125], [0.875, 0.750, 0.125], [0.375, 0.750, 0.625], [0.250, 0.125, 0.375], [0.875, 0.125, 0.250], [0.375, 0.625, 0.250], [0.625, 0.375, 0.750], [0.125, 0.875, 0.750], [0.750, 0.875, 0.625], [0.625, 0.250, 0.375], [0.125, 0.250, 0.875], [0.250, 0.625, 0.875], [0.125, 0.375, 0.250], [0.000, 0.500, 0.000], [0.000, 0.000, 0.000], [0.375, 0.250, 0.125], [0.500, 0.000, 0.500], [0.500, 0.500, 0.000], [0.125, 0.750, 0.375], [0.750, 0.125, 0.875], [0.750, 0.625, 0.375], [0.375, 0.125, 0.750], [0.625, 0.875, 0.250], [0.500, 0.500, 0.500], [0.500, 0.000, 0.000], [0.000, 0.000, 0.500], [0.250, 0.375, 0.625], [0.250, 0.875, 0.125], [0.000, 0.500, 0.500], [0.875, 0.250, 0.625], [0.625, 0.750, 0.875], [0.875, 0.625, 0.750], [0.688, 0.092, 0.001], [0.313, 0.501, 0.409], [0.999, 0.408, 0.312], [0.501, 0.188, 0.092], [0.596, 0.688, 0.687], [0.999, 0.591, 0.187], [0.313, 0.812, 0.404], [0.091, 0.904, 0.092], [0.591, 0.999, 0.687], [0.688, 0.596, 0.187], [0.812, 0.499, 0.408], [0.813, 0.909, 0.001], [0.092, 0.688, 0.501], [0.408, 0.409, 0.096], [0.096, 0.909, 0.408], [0.404, 0.092, 0.591], [0.096, 0.187, 0.188], [0.499, 0.687, 0.091], [0.813, 0.904, 0.312], [0.092, 0.404, 0.091], [0.408, 0.999, 0.812], [0.591, 0.592, 0.404], [0.909, 0.813, 0.501], [0.812, 0.313, 0.904], [0.409, 0.408, 0.596], [0.091, 0.187, 0.499], [0.188, 0.687, 0.096], [0.187, 0.096, 0.688], [0.592, 0.001, 0.188], [0.908, 0.596, 0.909], [0.501, 0.313, 0.909], [0.596, 0.908, 0.409], [0.904, 0.813, 0.812], [0.904, 0.091, 0.592], [0.908, 0.312, 0.499], [0.187, 0.091, 0.999], [0.592, 0.591, 0.904], [0.409, 0.001, 0.313], [0.312, 0.404, 0.813], [0.188, 0.501, 0.592], [0.909, 0.096, 0.908], [0.687, 0.188, 0.596], [0.499, 0.812, 0.908], [0.001, 0.409, 0.813], [0.404, 0.312, 0.313], [0.001, 0.592, 0.688], [0.687, 0.499, 0.591], [0.312, 0.908, 0.999]]}

Entry 4:
{"formula": "TiH2F6", "functional": "GGA-PBE", "state": "relaxed", "dos_at_fermi_per_ev_atom": 0.00, "density_g_cm3": 2.46, "vol_a3_per_fu": 111, "dft_energy_ev_per_atom": -5.4087, "lattice_angstrom": [[4.677, -0.176, -0.170], [1.136, 6.842, 0.132], [1.136, 0.354, 6.834]], "species": ["Ti", "Ti", "H", "H", "H", "H", "F", "F", "F", "F", "F", "F", "F", "F", "F", "F", "F", "F"], "fractional_positions": [[0.250, 0.120, 0.880], [0.750, 0.880, 0.120], [0.058, 0.626, 0.646], [0.442, 0.354, 0.374], [0.942, 0.374, 0.354], [0.558, 0.646, 0.626], [0.373, 0.691, 0.577], [0.127, 0.423, 0.309], [0.627, 0.309, 0.423], [0.873, 0.577, 0.691], [0.871, 0.874, 0.351], [0.629, 0.649, 0.126], [0.129, 0.126, 0.649], [0.371, 0.351, 0.874], [0.105, 0.837, 0.961], [0.395, 0.039, 0.163], [0.895, 0.163, 0.039], [0.605, 0.961, 0.837]]}

Entry 5:
{"formula": "LaCo3As3", "functional": "GGA-PBE", "state": "relaxed", "dos_at_fermi_per_ev_atom": 1.25, "polymorph_energy_mev_per_atom": 84, "ef_ev_per_atom": -0.384, "density_g_cm3": 6.86, "vol_a3_per_fu": 131, "dft_energy_ev_per_atom": -6.1263, "lattice_angstrom": [[6.395, 0.000, 0.000], [0.000, 6.395, 0.000], [0.000, 0.000, 6.395]], "species": ["As", "As", "As", "As", "As", "As", "Co", "Co", "Co", "Co", "Co", "Co", "La", "La"], "fractional_positions": [[0.000, 0.250, 0.500], [0.000, 0.750, 0.500], [0.500, 0.000, 0.750], [0.750, 0.500, 0.000], [0.500, 0.000, 0.250], [0.250, 0.500, 0.000], [0.250, 0.000, 0.500], [0.000, 0.500, 0.250], [0.500, 0.750, 0.000], [0.750, 0.000, 0.500], [0.000, 0.500, 0.750], [0.500, 0.250, 0.000], [0.500, 0.500, 0.500], [0.000, 0.000, 0.000]]}

Entry 6:
{"formula": "Tb8Te3P3C", "functional": "GGA-PBE", "state": "relaxed", "dos_at_fermi_per_ev_atom": 0.58, "density_g_cm3": 7.22, "raw_formation_energy_mev_per_atom": -1253.8, "vol_a3_per_fu": 405, "dft_energy_ev_per_atom": -6.0485, "lattice_angstrom": [[-5.190, 1.866, -5.918], [7.719, -1.645, -1.757], [-5.058, -6.444, 2.402]], "species": ["Tb", "Tb", "Tb", "Tb", "Tb", "Tb", "Tb", "Tb", "Te", "Te", "Te", "P", "P", "P", "C"], "fractional_positions": [[0.264, 0.529, 0.293], [0.736, 0.471, 0.707], [0.783, 0.566, 0.305], [0.217, 0.434, 0.695], [0.783, 0.022, 0.305], [0.217, 0.978, 0.695], [0.239, 0.022, 0.305], [0.761, 0.978, 0.695], [0.000, 0.000, 0.000], [0.000, 0.500, 0.000], [0.500, 0.500, 0.000], [0.500, 0.000, 0.500], [0.500, 0.500, 0.500], [0.000, 0.500, 0.500], [0.000, 0.000, 0.500]]}

Entry 7:
{"formula": "KLiUO4", "functional": "GGA-PBE", "state": "relaxed", "dos_at_fermi_per_ev_atom": 0.00, "density_g_cm3": 5.41, "raw_formation_energy_mev_per_atom": -2556.4, "vol_a3_per_fu": 107, "dft_energy_ev_per_atom": -7.4324, "lattice_angstrom": [[5.507, 0.002, -0.772], [0.002, 5.592, 0.000], [-3.111, -0.002, 7.375]], "species": ["K", "K", "Li", "Li", "U", "U", "O", "O", "O", "O", "O", "O", "O", "O"], "fractional_positions": [[0.582, 0.750, 0.917], [0.418, 0.250, 0.083], [0.178, 0.750, 0.307], [0.822, 0.250, 0.693], [0.773, 0.750, 0.462], [0.227, 0.250, 0.538], [0.057, 0.496, 0.675], [0.943, 0.996, 0.324], [0.943, 0.504, 0.325], [0.057, 0.004, 0.676], [0.420, 0.750, 0.205], [0.580, 0.250, 0.795], [0.513, 0.750, 0.566], [0.487, 0.250, 0.434]]}

Entry 8:
{"formula": "Si2IF", "functional": "GGA-PBE", "state": "relaxed", "dos_at_fermi_per_ev_atom": 1.00, "polymorph_energy_mev_per_atom": 473, "density_g_cm3": 4.26, "raw_formation_energy_mev_per_atom": 361.9, "vol_a3_per_fu": 79, "dft_energy_ev_per_atom": -3.2050, "lattice_angstrom": [[0.000, 3.403, 3.403], [3.403, 0.000, 3.403], [3.403, 3.403, 0.000]], "species": ["I", "Si", "Si", "F"], "fractional_positions": [[0.500, 0.500, 0.500], [0.250, 0.250, 0.250], [0.750, 0.750, 0.750], [0.000, 0.000, 0.000]]}

Entry 9:
{"formula": "BaCoH3", "functional": "GGA-PBE", "state": "relaxed", "dos_at_fermi_per_ev_atom": 0.35, "polymorph_energy_mev_per_atom": 0, "density_g_cm3": 5.91, "vol_a3_per_fu": 56, "dft_energy_ev_per_atom": -4.0094, "lattice_angstrom": [[-2.547, -1.809, -2.210], [-0.064, -2.924, 2.467], [-2.855, 1.679, 1.916]], "species": ["H", "H", "H", "Co", "Ba"], "fractional_positions": [[0.000, 0.500, 0.000], [0.000, 0.000, 0.500], [0.500, 0.000, 0.000], [0.000, 0.000, 0.000], [0.500, 0.500, 0.500]]}

Entry 10:
{"formula": "LuPuAg2", "functional": "GGA-PBE", "state": "relaxed", "dos_at_fermi_per_ev_atom": 2.46, "polymorph_energy_mev_per_atom": 205, "ef_ev_per_atom": 0.090, "density_g_cm3": 11.07, "vol_a3_per_fu": 95, "dft_energy_ev_per_atom": -6.0493, "lattice_angstrom": [[3.328, 0.000, 0.000], [1.664, 2.882, 0.000], [1.664, 0.961, 9.926]], "species": ["Lu", "Ag", "Ag", "Pu"], "fractional_positions": [[0.000, 0.000, 0.000], [0.254, 0.254, 0.237], [0.746, 0.746, 0.763], [0.500, 0.500, 0.500]]}

Entry 11:
{"formula": "Sc3Os5", "functional": "GGA-PBE", "state": "relaxed", "dos_at_fermi_per_ev_atom": 0.80, "polymorph_energy_mev_per_atom": 232, "ef_ev_per_atom": 0.060, "density_g_cm3": 13.45, "vol_a3_per_fu": 134, "dft_energy_ev_per_atom": -9.3331, "lattice_angstrom": [[-2.590, 1.973, 7.945], [6.570, -2.402, -4.804], [-0.503, 6.419, -2.634]], "species": ["Sc", "Sc", "Sc", "Sc", "Sc", "Sc", "Os", "Os", "Os", "Os", "Os", "Os", "Os", "Os", "Os", "Os"], "fractional_positions": [[0.770, 0.768, 0.038], [0.230, 0.232, 0.962], [0.291, 0.198, 0.501], [0.708, 0.802, 0.499], [0.186, 0.686, 0.874], [0.813, 0.314, 0.126], [0.238, 0.788, 0.500], [0.761, 0.212, 0.500], [0.736, 0.043, 0.809], [0.263, 0.957, 0.191], [0.736, 0.519, 0.301], [0.263, 0.481, 0.699], [0.573, 0.268, 0.810], [0.426, 0.732, 0.190], [0.061, 0.279, 0.301], [0.938, 0.721, 0.699]]}

Entry 12:
{"formula": "PmInSb2", "functional": "GGA-PBE", "state": "relaxed", "dos_at_fermi_per_ev_atom": 0.38, "polymorph_energy_mev_per_atom": 338, "density_g_cm3": 7.16, "raw_formation_energy_mev_per_atom": -206.9, "vol_a3_per_fu": 117, "dft_energy_ev_per_atom": -4.1403, "lattice_angstrom": [[3.390, 0.000, 0.000], [1.695, 2.936, 0.000], [1.695, 0.979, 11.731]], "species": ["Sb", "Sb", "In", "Pm"], "fractional_positions": [[0.090, 0.090, 0.729], [0.910, 0.910, 0.271], [0.000, 0.000, 0.000], [0.500, 0.500, 0.500]]}